Computed, not measured: a geometry-optimized TaAl2Sb structure at the PBE-GGA level of DFT.

Cell: 2.939 4.753 5.784 Å, 90.00 104.65 90.00°
Fractional positions:
Ta (0.000, 0.000, 0.000)
Al (0.576, 0.500, 0.150)
Al (0.707, 0.000, 0.421)
Sb (0.855, 0.500, 0.684)

Output
Energy relative to the elements, uncorrected, eV/atom: 0.096
Magnetic moment, μB/f.u.: 0.0
Space-group type: Pm

Computed, not measured: a geometry-optimized SrTlHg2Sb structure at the PBE-GGA level of DFT.

Cell: 5.498 5.498 6.508 Å, 90.00 90.00 90.00°
Fractional positions:
Sr (0.000, 0.000, 0.000)
Tl (0.000, 0.000, 0.500)
Hg (0.000, 0.500, 0.500)
Hg (0.500, 0.000, 0.500)
Sb (0.500, 0.500, 0.000)

Output
Energy relative to the elements, uncorrected, eV/atom: 0.188
Magnetic moment, μB/f.u.: 0.0
Space-group type: P4/mmm

Computed, not measured: a geometry-optimized Ag6IF12 structure at the PBE-GGA level of DFT.

Cell: 6.957 6.957 6.957 Å, 97.97 97.97 97.97°
Fractional positions:
Ag (0.103, 0.652, 0.838)
Ag (0.162, 0.897, 0.348)
Ag (0.348, 0.162, 0.897)
Ag (0.652, 0.838, 0.103)
Ag (0.838, 0.103, 0.652)
Ag (0.897, 0.348, 0.162)
I (0.500, 0.500, 0.500)
F (0.096, 0.335, 0.892)
F (0.108, 0.904, 0.665)
F (0.211, 0.515, 0.432)
F (0.335, 0.892, 0.096)
F (0.432, 0.211, 0.515)
F (0.485, 0.568, 0.789)
F (0.515, 0.432, 0.211)
F (0.568, 0.789, 0.485)
F (0.665, 0.108, 0.904)
F (0.789, 0.485, 0.568)
F (0.892, 0.096, 0.335)
F (0.904, 0.665, 0.108)

Output
Energy relative to the elements, uncorrected, eV/atom: -1.194
Magnetic moment, μB/f.u.: 0.0
Space-group type: R-3

Computed, not measured: a geometry-optimized Pm4DySc3S8 structure at the PBE-GGA level of DFT.

Cell: 7.863 7.863 7.863 Å, 58.76 58.76 58.76°
Fractional positions:
Pm (0.000, 0.000, 0.000)
Pm (0.000, 0.500, 0.500)
Pm (0.500, 0.000, 0.500)
Pm (0.500, 0.500, 0.000)
Dy (0.500, 0.500, 0.500)
Sc (0.000, 0.000, 0.500)
Sc (0.000, 0.500, 0.000)
Sc (0.500, 0.000, 0.000)
S (0.234, 0.746, 0.746)
S (0.240, 0.240, 0.240)
S (0.254, 0.254, 0.766)
S (0.254, 0.766, 0.254)
S (0.746, 0.234, 0.746)
S (0.746, 0.746, 0.234)
S (0.760, 0.760, 0.760)
S (0.766, 0.254, 0.254)

Output
Energy relative to the elements, uncorrected, eV/atom: -1.946
Magnetic moment, μB/f.u.: 0.0
Space-group type: R-3m

Computed, not measured: a geometry-optimized NbSb2Pd2 structure at the PBE-GGA level of DFT.

Cell: 7.722 7.722 3.248 Å, 90.00 90.00 90.00°
Fractional positions:
Nb (0.000, 0.000, 0.000)
Nb (0.500, 0.500, 0.000)
Sb (0.161, 0.339, 0.000)
Sb (0.339, 0.839, 0.000)
Sb (0.661, 0.161, 0.000)
Sb (0.839, 0.661, 0.000)
Pd (0.137, 0.637, 0.500)
Pd (0.363, 0.137, 0.500)
Pd (0.637, 0.863, 0.500)
Pd (0.863, 0.363, 0.500)

Output
Energy relative to the elements, uncorrected, eV/atom: -0.147
Magnetic moment, μB/f.u.: 0.0
Space-group type: P4/mbm

Computed, not measured: a geometry-optimized Ac8Ru3RhI3 structure at the PBE-GGA level of DFT.

Cell: 8.678 8.678 10.109 Å, 115.53 115.53 59.96°
Fractional positions:
Ac (0.224, 0.728, 0.680)
Ac (0.228, 0.228, 0.683)
Ac (0.272, 0.272, 0.320)
Ac (0.272, 0.776, 0.320)
Ac (0.728, 0.224, 0.680)
Ac (0.728, 0.728, 0.680)
Ac (0.772, 0.772, 0.317)
Ac (0.776, 0.272, 0.320)
Ru (0.000, 0.000, 0.500)
Ru (0.000, 0.500, 0.500)
Ru (0.500, 0.000, 0.500)
Rh (0.500, 0.500, 0.500)
I (0.000, 0.500, 0.000)
I (0.500, 0.000, 0.000)
I (0.500, 0.500, 0.000)

Output
Energy relative to the elements, uncorrected, eV/atom: -0.656
Magnetic moment, μB/f.u.: 0.0
Space-group type: C2/m

Computed, not measured: a geometry-optimized PrSm2Al3 structure at the PBE-GGA level of DFT.

Cell: 6.080 6.080 5.149 Å, 90.00 90.00 120.67°
Fractional positions:
Pr (0.000, 0.000, 0.000)
Sm (0.334, 0.666, 0.000)
Sm (0.666, 0.334, 0.000)
Al (0.000, 0.500, 0.500)
Al (0.500, 0.000, 0.500)
Al (0.500, 0.500, 0.500)

Output
Magnetic moment, μB/f.u.: 0.0
Space-group type: Cmmm

Computed, not measured: a geometry-optimized Pm2Ho4Tl structure at the PBE-GGA level of DFT.

Cell: 5.828 6.678 11.488 Å, 90.00 103.52 90.00°
Fractional positions:
Pm (0.043, 0.250, 0.476)
Pm (0.336, 0.750, 0.070)
Pm (0.664, 0.250, 0.930)
Pm (0.957, 0.750, 0.524)
Ho (0.161, 0.009, 0.788)
Ho (0.161, 0.491, 0.788)
Ho (0.214, 0.250, 0.069)
Ho (0.388, 0.750, 0.368)
Ho (0.612, 0.250, 0.632)
Ho (0.786, 0.750, 0.931)
Ho (0.839, 0.509, 0.212)
Ho (0.839, 0.991, 0.212)
Tl (0.473, 0.250, 0.340)
Tl (0.527, 0.750, 0.660)

Output
Magnetic moment, μB/f.u.: 0.0
Space-group type: P2_1/m

Computed, not measured: a geometry-optimized Ba3CdIr structure at the PBE-GGA level of DFT.

Cell: 6.100 6.100 6.100 Å, 90.00 90.00 90.00°
Fractional positions:
Ba (0.000, 0.000, 0.500)
Ba (0.000, 0.500, 0.000)
Ba (0.500, 0.000, 0.000)
Cd (0.500, 0.500, 0.500)
Ir (0.000, 0.000, 0.000)

Output
Magnetic moment, μB/f.u.: 0.0
Space-group type: Pm-3m

Computed, not measured: a geometry-optimized CoP2 structure at the PBE-GGA level of DFT.

Cell: 3.256 4.152 4.152 Å, 48.95 90.00 90.00°
Fractional positions:
Co (0.000, 0.000, 0.000)
P (0.000, 0.289, 0.289)
P (0.500, 0.490, 0.490)

Output
Magnetic moment, μB/f.u.: 0.0
Space-group type: Amm2

Computed, not measured: a geometry-optimized Dy2MnCdC structure at the PBE-GGA level of DFT.

Cell: 5.053 5.053 3.807 Å, 90.00 90.00 90.00°
Fractional positions:
Dy (0.000, 0.500, 0.000)
Dy (0.500, 0.000, 0.000)
Mn (0.000, 0.000, 0.500)
Cd (0.500, 0.500, 0.500)
C (0.000, 0.000, 0.000)

Output
Magnetic moment, μB/f.u.: 1.4
Space-group type: P4/mmm

Computed, not measured: a geometry-optimized Na2GePbSe4 structure at the PBE-GGA level of DFT.

Cell: 10.013 7.828 6.339 Å, 90.00 90.00 90.00°
Fractional positions:
Na (0.247, 0.181, 0.000)
Na (0.253, 0.819, 0.500)
Na (0.747, 0.819, 0.500)
Na (0.753, 0.181, 0.000)
Ge (0.000, 0.666, 0.067)
Ge (0.500, 0.334, 0.567)
Pb (0.000, 0.307, 0.509)
Pb (0.500, 0.693, 0.009)
Se (0.000, 0.369, 0.964)
Se (0.000, 0.657, 0.446)
Se (0.202, 0.808, 0.972)
Se (0.298, 0.192, 0.472)
Se (0.500, 0.343, 0.946)
Se (0.500, 0.631, 0.464)
Se (0.702, 0.192, 0.472)
Se (0.798, 0.808, 0.972)

Output
Energy relative to the elements, uncorrected, eV/atom: -0.680
Magnetic moment, μB/f.u.: 0.0
Space-group type: Pmn2_1

Number 1: E_tot -5.769 eV per atom. Number 2: E_tot -1.567 eV per atom. Number 3: E_tot -3.358 eV per atom. Number 4: E_tot -6.672 eV per atom. Number 5: E_tot -5.887 eV per atom. Number 6: E_tot -5.502 eV per atom. Number 7: E_tot -4.339 eV per atom. Number 8: E_tot -4.314 eV per atom. Number 9: E_tot -3.232 eV per atom. Number 10: E_tot -6.074 eV per atom. Number 11: E_tot -5.966 eV per atom. Number 12: E_tot -3.792 eV per atom.